Computed, not measured: a relaxed structure of LaSc2SiO at the PBEsol level of DFT.

Calculated values
- SG = No. 123
- energy (eV per atom) = -6.953
- uncorrected formation energy (meV per atom) = -1042
- magnetization (μB/f.u.) = 0.0
- density of states at the Fermi level (states/eV/f.u.) = 5.1

Unit cell a=4.311 b=4.311 c=5.304 alpha=90.00 beta=90.00 gamma=90.00
Sites, in units of the cell vectors:
La 0.000 0.000 0.000
Sc 0.000 0.500 0.500
Sc 0.500 0.000 0.500
Si 0.500 0.500 0.000
O 0.500 0.500 0.500